Run one
EuTm2Al: optimized geometry, PBE.

extended XYZ file:
```
4
Lattice="4.8306 0.0000 0.0000 0.0000 4.8306 0.0000 0.0000 0.0000 4.6931" Properties=species:S:1:pos:R:3 pbc="T T T"
Eu 0.0000 0.0000 0.0000
Tm 0.0000 2.4153 2.3466
Tm 2.4153 0.0000 2.3466
Al 2.4153 2.4153 0.0000
```

Run two
EuTm2Al: optimized geometry, PBE.

extended XYZ file:
```
4
Lattice="3.5249 0.0000 0.0000 0.0000 3.5249 0.0000 0.0000 0.0000 9.2519" Properties=species:S:1:pos:R:3 pbc="T T T"
Eu 0.0000 0.0000 0.0000
Tm 1.7625 1.7625 2.8016
Tm 1.7625 1.7625 6.4504
Al 0.0000 0.0000 4.6260
```

Run three
EuTm2Al: optimized geometry, PBE.

extended XYZ file:
```
4
Lattice="1.7460 1.0081 11.3914 -1.7460 1.0081 11.3914 0.0000 -2.0161 11.3914" Properties=species:S:1:pos:R:3 pbc="T T T"
Eu 0.0000 0.0000 0.0000
Tm 0.0000 0.0000 3.4627
Tm 0.0000 0.0000 30.7114
Al 0.0000 0.0000 17.0871
```

Q: Which of them is the least stable? A: run three.

Run one
Eu2TmAl: optimized geometry, PBE.

extended XYZ file:
```
4
Lattice="0.0000 3.8996 3.8996 3.8996 0.0000 3.8996 3.8996 3.8996 0.0000" Properties=species:S:1:pos:R:3 pbc="T T T"
Eu 1.9498 1.9498 1.9498
Eu 5.8494 5.8494 5.8494
Tm 0.0000 0.0000 0.0000
Al 3.8996 3.8996 3.8996
```

Run two
Eu2TmAl: optimized geometry, PBE.

extended XYZ file:
```
4
Lattice="3.7136 0.0000 0.0000 0.0000 3.7136 0.0000 0.0000 0.0000 9.0024" Properties=species:S:1:pos:R:3 pbc="T T T"
Eu 0.0000 0.0000 1.9062
Eu 0.0000 0.0000 7.0963
Tm 1.8568 1.8568 4.5012
Al 1.8568 1.8568 0.0000
```

Run three
Eu2TmAl: optimized geometry, PBE.

extended XYZ file:
```
4
Lattice="4.8133 0.0000 0.0000 0.0000 4.8133 0.0000 0.0000 0.0000 5.0692" Properties=species:S:1:pos:R:3 pbc="T T T"
Eu 0.0000 2.4067 0.0000
Eu 2.4067 0.0000 0.0000
Tm 0.0000 0.0000 2.5346
Al 2.4067 2.4067 2.5346
```

Q: Which of them is the least stable? A: run one.

Run one
EuTmAl: optimized geometry, PBE.

extended XYZ file:
```
3
Lattice="5.2062 0.0000 0.0000 -2.6031 4.5087 0.0000 0.0000 0.0000 3.4839" Properties=species:S:1:pos:R:3 pbc="T T T"
Eu 0.0000 0.0000 0.0000
Tm 0.0000 3.0058 2.0309
Al 2.6031 1.5029 1.2352
```

Run two
EuTmAl: optimized geometry, PBE.

extended XYZ file:
```
3
Lattice="-1.8279 1.8279 6.4139 1.8279 -1.8279 6.4139 1.8279 1.8279 -6.4139" Properties=species:S:1:pos:R:3 pbc="T T T"
Eu 0.0000 0.0000 0.0000
Tm 0.0000 0.0000 3.6288
Al 0.0000 0.0000 8.4428
```

Q: Which of them is the least stable? A: run one.

Run one
EuYAl2: optimized geometry, PBE.

extended XYZ file:
```
4
Lattice="3.6960 0.0000 0.0000 0.0000 3.6960 0.0000 0.0000 0.0000 7.3777" Properties=species:S:1:pos:R:3 pbc="T T T"
Eu 0.0000 0.0000 0.0000
Y 0.0000 0.0000 3.6889
Al 1.8480 1.8480 1.9980
Al 1.8480 1.8480 5.3797
```

Run two
EuYAl2: optimized geometry, PBE.

extended XYZ file:
```
4
Lattice="0.0000 3.6833 3.6833 3.6833 0.0000 3.6833 3.6833 3.6833 0.0000" Properties=species:S:1:pos:R:3 pbc="T T T"
Eu 0.0000 0.0000 0.0000
Y 3.6833 3.6833 3.6833
Al 1.8416 1.8416 1.8416
Al 5.5249 5.5249 5.5249
```

Q: Which of them is the least stable? A: run two.